(1)
First-principles (PBE) data for La3Y6Ho2Er after structural relaxation, as listed in Alexandria.

Calculated total energy   -134.0 eV per cell
Crystal system   monoclinic

Structure (CIF):
```
data_La3Y6Ho2Er
_space_group_name_H-M_alt 'C 1 2/m 1'
_space_group_IT_number 12
_cell_length_a 6.246
_cell_length_b 10.819
_cell_length_c 11.901
_cell_angle_alpha 90.00
_cell_angle_beta 100.07
_cell_angle_gamma 90.00
loop_
_space_group_symop_operation_xyz
'x,y,z'
'-x,-y,-z'
'-x,y,-z'
'x,-y,z'
'x+1/2,y+1/2,z'
'-x+1/2,-y+1/2,-z'
'-x+1/2,y+1/2,-z'
'x+1/2,-y+1/2,z'
loop_
_atom_site_label
_atom_site_type_symbol
_atom_site_fract_x
_atom_site_fract_y
_atom_site_fract_z
La1 La 0.000 0.000 0.000
La2 La 0.000 0.333 0.000
Y1 Y 0.248 0.000 0.744
Y2 Y 0.248 0.333 0.744
Ho1 Ho 0.000 0.167 0.500
Er1 Er 0.000 0.500 0.500
```

***

(2)
First-principles (PBE) data for Bi2Pb7 after structural relaxation, as listed in Alexandria.

Calculated total energy   -33.4 eV per cell
Crystal system   trigonal

Structure (CIF):
```
data_Bi2Pb7
_space_group_name_H-M_alt 'P -3 1 m'
_space_group_IT_number 162
_space_group_name_Hall '-P 3 2'
_cell_length_a 6.2339
_cell_length_b 6.2339
_cell_length_c 8.4925
_cell_angle_alpha 90.00
_cell_angle_beta 90.00
_cell_angle_gamma 120.00
loop_
_atom_site_label
_atom_site_type_symbol
_atom_site_fract_x
_atom_site_fract_y
_atom_site_fract_z
Bi1 Bi 0.3333 0.6667 0.0000
Pb1 Pb 0.0000 0.0000 0.0000
Pb2 Pb 0.0000 0.3334 0.6684
```

***

(3)
First-principles (PBE) data for Ce2SmLu after structural relaxation, as listed in Alexandria.

Calculated total energy   -20.7 eV per cell
Crystal system   tetragonal

Structure (CIF):
```
data_Ce2SmLu
_space_group_name_H-M_alt 'P 4/m m m'
_space_group_IT_number 123
_space_group_name_Hall '-P 4 2'
_cell_length_a 3.467
_cell_length_b 3.467
_cell_length_c 10.106
_cell_angle_alpha 90.00
_cell_angle_beta 90.00
_cell_angle_gamma 90.00
loop_
_atom_site_label
_atom_site_type_symbol
_atom_site_fract_x
_atom_site_fract_y
_atom_site_fract_z
Ce1 Ce 0.000 0.000 0.245
Sm1 Sm 0.500 0.500 0.500
Lu1 Lu 0.500 0.500 0.000
```

***

(4)
First-principles (PBE) data for TaBe2Zn after structural relaxation, as listed in Alexandria.

Calculated total energy   -57.2 eV per cell
Crystal system   trigonal

Structure (CIF):
```
data_TaBe2Zn
_space_group_name_H-M_alt 'R -3 m'
_space_group_IT_number 166
_space_group_name_Hall '-R 3 2"'
_cell_length_a 2.7178
_cell_length_b 2.7178
_cell_length_c 25.1866
_cell_angle_alpha 90.00
_cell_angle_beta 90.00
_cell_angle_gamma 120.00
loop_
_atom_site_label
_atom_site_type_symbol
_atom_site_fract_x
_atom_site_fract_y
_atom_site_fract_z
Ta1 Ta 0.0000 0.0000 0.0000
Be1 Be 0.0000 0.0000 0.2461
Zn1 Zn 0.0000 0.0000 0.5000
```

***

(5)
First-principles (PBE) data for RuAuSe2 after structural relaxation, as listed in Alexandria.

Calculated total energy   -18.9 eV per cell
Uncorrected formation energy   0.1631 eV/atom
Crystal system   monoclinic

Structure (CIF):
```
data_RuAuSe2
_space_group_name_H-M_alt 'P 1 m 1'
_space_group_IT_number 6
_cell_length_a 3.410
_cell_length_b 3.636
_cell_length_c 7.224
_cell_angle_alpha 90.00
_cell_angle_beta 103.30
_cell_angle_gamma 90.00
loop_
_space_group_symop_operation_xyz
'x,y,z'
'x,-y,z'
loop_
_atom_site_label
_atom_site_type_symbol
_atom_site_fract_x
_atom_site_fract_y
_atom_site_fract_z
Ru1 Ru 0.000 0.000 0.000
Au1 Au 0.403 0.500 0.801
Se1 Se 0.106 0.500 0.218
Se2 Se 0.828 0.000 0.650
```

***

(6)
First-principles (PBE) data for FeAuCl after structural relaxation, as listed in Alexandria.

Calculated total energy   -13.7 eV per cell
Uncorrected formation energy   -0.0393 eV/atom
Crystal system   trigonal

Structure (CIF):
```
data_FeAuCl
_space_group_name_H-M_alt 'P 3 m 1'
_space_group_IT_number 156
_cell_length_a 3.1348
_cell_length_b 3.1348
_cell_length_c 6.7694
_cell_angle_alpha 90.00
_cell_angle_beta 90.00
_cell_angle_gamma 120.00
loop_
_space_group_symop_operation_xyz
'x,y,z'
'-y,x-y,z'
'-x+y,-x,z'
'-y,-x,z'
'-x+y,y,z'
'x,x-y,z'
loop_
_atom_site_label
_atom_site_type_symbol
_atom_site_fract_x
_atom_site_fract_y
_atom_site_fract_z
Fe1 Fe 0.0000 0.0000 0.0000
Au1 Au 0.3333 0.6667 0.2923
Cl1 Cl 0.6667 0.3333 0.7705
```

***

(7)
First-principles (PBE) data for Li2LaDyTl4 after structural relaxation, as listed in Alexandria.

Calculated total energy   -76.5 eV per cell
Crystal system   trigonal

Structure (CIF):
```
data_Li2LaDyTl4
_space_group_name_H-M_alt 'R -3 m'
_space_group_IT_number 166
_space_group_name_Hall '-R 3 2"'
_cell_length_a 5.2521
_cell_length_b 5.2521
_cell_length_c 26.0580
_cell_angle_alpha 90.00
_cell_angle_beta 90.00
_cell_angle_gamma 120.00
loop_
_atom_site_label
_atom_site_type_symbol
_atom_site_fract_x
_atom_site_fract_y
_atom_site_fract_z
Li1 Li 0.0000 0.0000 0.2480
La1 La 0.0000 0.0000 0.0000
Dy1 Dy 0.0000 0.0000 0.5000
Tl1 Tl 0.0000 0.0000 0.1273
Tl2 Tl 0.0000 0.0000 0.3792
```

***

(8)
First-principles (PBE) data for Si3Br2 after structural relaxation, as listed in Alexandria.

Calculated total energy   -57.3 eV per cell
Uncorrected formation energy   0.1025 eV/atom
Crystal system   trigonal

Structure (CIF):
```
data_Si3Br2
_space_group_name_H-M_alt 'R -3 m'
_space_group_IT_number 166
_space_group_name_Hall '-R 3 2"'
_cell_length_a 3.8985
_cell_length_b 3.8985
_cell_length_c 34.2206
_cell_angle_alpha 90.00
_cell_angle_beta 90.00
_cell_angle_gamma 120.00
loop_
_atom_site_label
_atom_site_type_symbol
_atom_site_fract_x
_atom_site_fract_y
_atom_site_fract_z
Si1 Si 0.0000 0.0000 0.0000
Si2 Si 0.0000 0.0000 0.1603
Br1 Br 0.0000 0.0000 0.3804
```

***

(9)
First-principles (PBE) data for AcSn2P after structural relaxation, as listed in Alexandria.

Calculated total energy   -54.1 eV per cell
Crystal system   trigonal

Structure (CIF):
```
data_AcSn2P
_space_group_name_H-M_alt 'R -3 m'
_space_group_IT_number 166
_space_group_name_Hall '-R 3 2"'
_cell_length_a 3.7897
_cell_length_b 3.7897
_cell_length_c 27.3866
_cell_angle_alpha 90.00
_cell_angle_beta 90.00
_cell_angle_gamma 120.00
loop_
_atom_site_label
_atom_site_type_symbol
_atom_site_fract_x
_atom_site_fract_y
_atom_site_fract_z
Ac1 Ac 0.0000 0.0000 0.0000
Sn1 Sn 0.0000 0.0000 0.2288
P1 P 0.0000 0.0000 0.5000
```

***

(10)
First-principles (PBE) data for BaIrBr2 after structural relaxation, as listed in Alexandria.

Calculated total energy   -33.3 eV per cell
Uncorrected formation energy   -0.6324 eV/atom
Crystal system   monoclinic

Structure (CIF):
```
data_BaIrBr2
_space_group_name_H-M_alt 'C 1 2/m 1'
_space_group_IT_number 12
_cell_length_a 14.358
_cell_length_b 4.532
_cell_length_c 4.748
_cell_angle_alpha 90.00
_cell_angle_beta 95.20
_cell_angle_gamma 90.00
loop_
_space_group_symop_operation_xyz
'x,y,z'
'-x,-y,-z'
'-x,y,-z'
'x,-y,z'
'x+1/2,y+1/2,z'
'-x+1/2,-y+1/2,-z'
'-x+1/2,y+1/2,-z'
'x+1/2,-y+1/2,z'
loop_
_atom_site_label
_atom_site_type_symbol
_atom_site_fract_x
_atom_site_fract_y
_atom_site_fract_z
Ba1 Ba 0.000 0.000 0.000
Ir1 Ir 0.000 0.500 0.500
Br1 Br 0.155 0.500 0.738
```

***

(11)
First-principles (PBE) data for LiRuRh after structural relaxation, as listed in Alexandria.

Calculated total energy   -36.1 eV per cell
Crystal system   hexagonal

Structure (CIF):
```
data_LiRuRh
_space_group_name_H-M_alt 'P -6 m 2'
_space_group_IT_number 187
_space_group_name_Hall 'P -6 2'
_cell_length_a 4.3290
_cell_length_b 4.3290
_cell_length_c 5.3320
_cell_angle_alpha 90.00
_cell_angle_beta 90.00
_cell_angle_gamma 120.00
loop_
_atom_site_label
_atom_site_type_symbol
_atom_site_fract_x
_atom_site_fract_y
_atom_site_fract_z
Li1 Li 0.0000 0.0000 0.0000
Li2 Li 0.0000 0.0000 0.5000
Ru1 Ru 0.6667 0.3333 0.2152
Rh1 Rh 0.3333 0.6667 0.2523
```

***

(12)
First-principles (PBE) data for MnTl3As after structural relaxation, as listed in Alexandria.

Calculated total energy   -17.1 eV per cell
Crystal system   cubic

Structure (CIF):
```
data_MnTl3As
_space_group_name_H-M_alt 'P m -3 m'
_space_group_IT_number 221
_space_group_name_Hall '-P 4 2 3'
_cell_length_a 5.531
_cell_length_b 5.531
_cell_length_c 5.531
_cell_angle_alpha 90.00
_cell_angle_beta 90.00
_cell_angle_gamma 90.00
loop_
_atom_site_label
_atom_site_type_symbol
_atom_site_fract_x
_atom_site_fract_y
_atom_site_fract_z
Mn1 Mn 0.000 0.000 0.000
Tl1 Tl 0.000 0.500 0.500
As1 As 0.500 0.500 0.500
```

***

(13)
First-principles (PBE) data for RePtOF2 after structural relaxation, as listed in Alexandria.

Calculated total energy   -28.5 eV per cell
Uncorrected formation energy   -0.2550 eV/atom
Crystal system   tetragonal

Structure (CIF):
```
data_RePtOF2
_space_group_name_H-M_alt 'P 4/m m m'
_space_group_IT_number 123
_space_group_name_Hall '-P 4 2'
_cell_length_a 4.238
_cell_length_b 4.238
_cell_length_c 3.773
_cell_angle_alpha 90.00
_cell_angle_beta 90.00
_cell_angle_gamma 90.00
loop_
_atom_site_label
_atom_site_type_symbol
_atom_site_fract_x
_atom_site_fract_y
_atom_site_fract_z
Re1 Re 0.000 0.000 0.000
Pt1 Pt 0.500 0.500 0.500
O1 O 0.000 0.000 0.500
F1 F 0.000 0.500 0.000
```

***

(14)
First-principles (PBE) data for TiHg2BrO after structural relaxation, as listed in Alexandria.

Calculated total energy   -17.7 eV per cell
Uncorrected formation energy   -0.5142 eV/atom
Crystal system   tetragonal

Structure (CIF):
```
data_TiHg2BrO
_space_group_name_H-M_alt 'P 4/m m m'
_space_group_IT_number 123
_space_group_name_Hall '-P 4 2'
_cell_length_a 5.822
_cell_length_b 5.822
_cell_length_c 3.722
_cell_angle_alpha 90.00
_cell_angle_beta 90.00
_cell_angle_gamma 90.00
loop_
_atom_site_label
_atom_site_type_symbol
_atom_site_fract_x
_atom_site_fract_y
_atom_site_fract_z
Ti1 Ti 0.000 0.000 0.000
Hg1 Hg 0.000 0.500 0.500
Br1 Br 0.500 0.500 0.000
O1 O 0.000 0.000 0.500
```

***

(15)
First-principles (PBE) data for Pm4Sc after structural relaxation, as listed in Alexandria.

Calculated total energy   -50.3 eV per cell
Crystal system   tetragonal

Structure (CIF):
```
data_Pm4Sc
_space_group_name_H-M_alt 'I 4/m'
_space_group_IT_number 87
_space_group_name_Hall '-I 4'
_cell_length_a 7.994
_cell_length_b 7.994
_cell_length_c 5.045
_cell_angle_alpha 90.00
_cell_angle_beta 90.00
_cell_angle_gamma 90.00
loop_
_atom_site_label
_atom_site_type_symbol
_atom_site_fract_x
_atom_site_fract_y
_atom_site_fract_z
Pm1 Pm 0.103 0.297 0.000
Sc1 Sc 0.000 0.000 0.500
```

***

(16)
First-principles (PBE) data for LaPt2Pb2 after structural relaxation, as listed in Alexandria.

Calculated total energy   -53.6 eV per cell
Crystal system   tetragonal

Structure (CIF):
```
data_LaPt2Pb2
_space_group_name_H-M_alt 'P 4/m b m'
_space_group_IT_number 127
_space_group_name_Hall '-P 4 2ab'
_cell_length_a 7.478
_cell_length_b 7.478
_cell_length_c 4.448
_cell_angle_alpha 90.00
_cell_angle_beta 90.00
_cell_angle_gamma 90.00
loop_
_atom_site_label
_atom_site_type_symbol
_atom_site_fract_x
_atom_site_fract_y
_atom_site_fract_z
La1 La 0.000 0.000 0.000
Pt1 Pt 0.130 0.370 0.000
Pb1 Pb 0.170 0.670 0.500
```

***

(17)
First-principles (PBE) data for Rb3LaZn after structural relaxation, as listed in Alexandria.

Calculated total energy   -4.5 eV per cell
Crystal system   cubic

Structure (CIF):
```
data_Rb3LaZn
_space_group_name_H-M_alt 'P m -3 m'
_space_group_IT_number 221
_space_group_name_Hall '-P 4 2 3'
_cell_length_a 7.680
_cell_length_b 7.680
_cell_length_c 7.680
_cell_angle_alpha 90.00
_cell_angle_beta 90.00
_cell_angle_gamma 90.00
loop_
_atom_site_label
_atom_site_type_symbol
_atom_site_fract_x
_atom_site_fract_y
_atom_site_fract_z
Rb1 Rb 0.000 0.000 0.500
La1 La 0.000 0.000 0.000
Zn1 Zn 0.500 0.500 0.500
```

***

(18)
First-principles (PBE) data for TaTl2In after structural relaxation, as listed in Alexandria.

Calculated total energy   -16.7 eV per cell
Crystal system   tetragonal

Structure (CIF):
```
data_TaTl2In
_space_group_name_H-M_alt 'P 4/m m m'
_space_group_IT_number 123
_space_group_name_Hall '-P 4 2'
_cell_length_a 4.718
_cell_length_b 4.718
_cell_length_c 4.142
_cell_angle_alpha 90.00
_cell_angle_beta 90.00
_cell_angle_gamma 90.00
loop_
_atom_site_label
_atom_site_type_symbol
_atom_site_fract_x
_atom_site_fract_y
_atom_site_fract_z
Ta1 Ta 0.000 0.000 0.000
Tl1 Tl 0.000 0.500 0.500
In1 In 0.500 0.500 0.000
```

***

(19)
First-principles (PBE) data for Th5SiTe5 after structural relaxation, as listed in Alexandria.

Calculated total energy   -140.3 eV per cell
Uncorrected formation energy   -1.0827 eV/atom
Crystal system   monoclinic

Structure (CIF):
```
data_Th5SiTe5
_space_group_name_H-M_alt 'C 1 2/m 1'
_space_group_IT_number 12
_cell_length_a 13.841
_cell_length_b 6.224
_cell_length_c 8.878
_cell_angle_alpha 90.00
_cell_angle_beta 108.94
_cell_angle_gamma 90.00
loop_
_space_group_symop_operation_xyz
'x,y,z'
'-x,-y,-z'
'-x,y,-z'
'x,-y,z'
'x+1/2,y+1/2,z'
'-x+1/2,-y+1/2,-z'
'-x+1/2,y+1/2,-z'
'x+1/2,-y+1/2,z'
loop_
_atom_site_label
_atom_site_type_symbol
_atom_site_fract_x
_atom_site_fract_y
_atom_site_fract_z
Th1 Th 0.000 0.000 0.000
Th2 Th 0.153 0.500 0.306
Th3 Th 0.162 0.500 0.857
Si1 Si 0.000 0.500 0.000
Te1 Te 0.000 0.500 0.500
Te2 Te 0.152 0.000 0.802
Te3 Te 0.171 0.000 0.343
```

***

(20)
First-principles (PBE) data for Li4InPd after structural relaxation, as listed in Alexandria.

Calculated total energy   -68.7 eV per cell
Crystal system   monoclinic

Structure (CIF):
```
data_Li4InPd
_space_group_name_H-M_alt 'C 1 2/m 1'
_space_group_IT_number 12
_cell_length_a 12.314
_cell_length_b 6.966
_cell_length_c 5.049
_cell_angle_alpha 90.00
_cell_angle_beta 103.38
_cell_angle_gamma 90.00
loop_
_space_group_symop_operation_xyz
'x,y,z'
'-x,-y,-z'
'-x,y,-z'
'x,-y,z'
'x+1/2,y+1/2,z'
'-x+1/2,-y+1/2,-z'
'-x+1/2,y+1/2,-z'
'x+1/2,-y+1/2,z'
loop_
_atom_site_label
_atom_site_type_symbol
_atom_site_fract_x
_atom_site_fract_y
_atom_site_fract_z
Li1 Li 0.000 0.195 0.000
Li2 Li 0.123 0.195 0.581
Li3 Li 0.162 0.500 0.282
In1 In 0.215 0.000 0.131
Pd1 Pd 0.055 0.500 0.768
```

***

Number 1: magnetic moment 0.0 μB/f.u.. Number 2: magnetic moment 0.0 μB/f.u.. Number 3: magnetic moment 1.6 μB/f.u.. Number 4: magnetic moment 0.0 μB/f.u.. Number 5: magnetic moment 0.0 μB/f.u.. Number 6: magnetic moment 3.5 μB/f.u.. Number 7: magnetic moment 0.0 μB/f.u.. Number 8: magnetic moment 0.0 μB/f.u.. Number 9: magnetic moment 0.0 μB/f.u.. Number 10: magnetic moment 1.0 μB/f.u.. Number 11: magnetic moment 0.0 μB/f.u.. Number 12: magnetic moment 4.6 μB/f.u.. Number 13: magnetic moment 0.9 μB/f.u.. Number 14: magnetic moment 1.0 μB/f.u.. Number 15: magnetic moment 0.0 μB/f.u.. Number 16: magnetic moment 0.0 μB/f.u.. Number 17: magnetic moment 4.1 μB/f.u.. Number 18: magnetic moment 0.0 μB/f.u.. Number 19: magnetic moment 0.0 μB/f.u.. Number 20: magnetic moment 0.0 μB/f.u..